VASP calculation (GGA-PBE) on crystalline CeMo2Se4Br2 at its relaxed geometry.

```
CeMo2Se4Br2
1.0
3.457 0.000 0.000
-1.728 2.994 0.000
0.000 0.000 22.809
Ce Mo Se Br
1 2 4 2
Cartesian
0.000 0.000 0.000
0.000 0.000 14.763
1.728 0.998 7.686
0.000 0.000 6.056
0.000 0.000 9.316
1.728 0.998 13.133
1.728 0.998 16.393
1.728 0.998 2.167
1.728 0.998 20.642
```

Results
The value obtained for the calculated volume is 236 Å³/f.u. Its total energy is -52.7 eV/cell. Its space-group type is No. 156. The calculation puts the total moment at 1.54 μB per cell. For the formation energy without anion corrections, the calculation gives -870 meV per atom.

VASP calculation (GGA-PBE) on crystalline Ce2Br2N at its relaxed geometry.

```
Ce2Br2N
1.0
3.274 -1.890 0.000
3.274 1.890 0.000
-2.426 0.000 10.910
Ce Br N
2 2 1
Cartesian
1.091 0.000 1.316
3.030 0.000 9.594
-1.335 0.000 7.559
5.456 0.000 3.351
3.274 0.000 0.000
```

Results
The value obtained for the calculated volume is 135 Å³/f.u. Its total energy is -31.5 eV/cell. Its space-group type is No. 12. The calculation puts the total moment at 1.19 μB per cell. For the formation energy without anion corrections, the calculation gives -1599 meV per atom.

VASP calculation (GGA-PBE) on crystalline Ce2Br3N at its relaxed geometry.

```
Ce2Br3N
1.0
9.093 -2.027 0.000
9.093 2.027 0.000
-6.305 0.000 9.746
Ce Br N
4 6 2
Cartesian
-1.467 0.000 4.458
5.303 0.000 2.130
6.579 0.000 7.616
13.349 0.000 5.288
2.967 0.000 0.082
2.675 0.000 3.696
3.558 0.000 7.405
8.324 0.000 2.341
9.207 0.000 6.050
8.915 0.000 9.664
-2.785 0.000 6.339
14.667 0.000 3.406
```

Results
The value obtained for the calculated volume is 180 Å³/f.u. Its energy above the lowest structure with this stoichiometry is 0.00 kcal/mol of atoms. Its total energy is -71.7 eV/cell. Its space-group type is No. 12. The calculation puts the total moment at 3.95 μB per cell. For the formation energy without anion corrections, the calculation gives -1774 meV per atom.

VASP calculation (GGA-PBE) on crystalline Ce2Br2N at its relaxed geometry.

```
Ce2Br2N
1.0
9.317 0.000 0.000
0.000 7.084 0.000
-1.175 0.000 7.702
Ce Br N
8 8 4
Cartesian
0.240 1.255 2.884
-0.347 2.288 6.735
2.711 4.009 1.913
2.123 6.618 5.764
6.019 0.466 1.939
5.432 3.076 5.790
8.490 4.797 0.967
7.902 5.830 4.819
1.095 4.003 4.623
1.683 6.623 0.772
3.457 1.570 3.598
2.869 1.972 7.449
5.273 5.112 0.253
4.686 5.515 4.104
6.460 0.461 6.930
7.047 3.081 3.079
0.231 0.403 5.098
0.818 3.139 1.247
7.324 3.945 6.456
7.911 6.682 2.605
```

Results
The value obtained for the calculated volume is 127 Å³/f.u. Its total energy is -123.9 eV/cell. Its space-group type is No. 14. The calculation puts the total moment at 11.90 μB per cell. For the formation energy without anion corrections, the calculation gives -1486 meV per atom.

VASP calculation (GGA-PBE) on crystalline Ce2Br3N at its relaxed geometry.

```
Ce2Br3N
1.0
-7.392 7.392 6.012
7.392 -7.392 6.012
7.392 7.392 -6.012
Ce Br N
16 24 8
Cartesian
2.497 -1.327 2.396
3.318 1.784 0.048
9.761 1.199 0.610
9.888 -1.327 3.616
5.480 7.770 -3.055
5.480 0.378 3.055
4.074 -1.784 6.061
5.023 6.192 0.610
2.369 1.199 5.402
3.318 9.176 -0.048
1.912 7.014 2.958
1.912 -0.378 9.067
-2.497 8.718 2.396
-2.369 6.192 5.402
4.074 5.608 5.964
4.895 8.718 3.616
8.025 -5.599 4.706
7.622 -1.108 1.278
9.979 3.466 -1.728
4.804 3.926 -1.728
5.109 -4.892 6.680
6.758 -1.793 4.706
1.196 1.413 2.338
7.622 6.283 -1.278
5.488 3.062 1.700
2.283 4.892 0.668
8.588 1.413 3.674
9.295 4.330 1.700
-1.903 3.062 4.313
-1.196 5.979 2.338
5.109 2.499 5.344
1.903 4.330 4.313
-0.230 1.108 7.290
6.195 5.979 3.674
0.634 9.184 1.306
2.283 12.284 -0.668
2.587 3.466 7.740
-2.587 3.926 7.740
-0.230 8.500 4.734
-0.634 12.991 1.306
4.122 -0.092 1.204
10.995 -0.427 1.802
3.604 -0.427 4.210
4.122 7.300 -1.204
3.269 0.092 7.216
3.788 7.818 1.802
-3.604 7.818 4.210
3.269 7.484 4.808
```

Results
The value obtained for the calculated volume is 164 Å³/f.u. Its energy above the lowest structure with this stoichiometry is 0.14 kcal/mol of atoms. Its total energy is -286.6 eV/cell. Its space-group type is No. 88. The calculation puts the total moment at 16.01 μB per cell. For the formation energy without anion corrections, the calculation gives -1768 meV per atom.

VASP calculation (GGA-PBE) on crystalline Ce3BrN3 at its relaxed geometry.

```
Ce3BrN3
1.0
3.432 1.981 7.482
-3.432 1.981 7.482
0.000 -3.963 7.482
Ce Br N
6 2 6
Cartesian
-2.315 -0.009 8.850
-1.150 -2.009 13.597
1.165 -2.001 8.850
-1.165 2.001 13.597
1.150 2.009 8.850
2.315 0.009 13.597
0.000 0.000 3.744
0.000 0.000 18.703
-1.113 -1.958 8.415
-2.252 -0.015 14.032
-1.139 1.943 8.415
1.139 -1.943 14.032
2.252 0.015 8.415
1.113 1.958 14.032
```

Results
The value obtained for the calculated volume is 153 Å³/f.u. Its total energy is -110.7 eV/cell. Its space-group type is No. 148. The calculation puts the total moment at 4.16 μB per cell. For the formation energy without anion corrections, the calculation gives -1556 meV per atom.